Density functional theory data (PBE) for crystalline Sc3Fe3Si2 at its relaxed geometry.

Results
**DFT total energy**: -7.356 eV/atom
**Formation energy from raw total energies**: -453 meV per atom
**Relative energy among the computed polymorphs**: 0.000 eV per atom
**Fermi-level density of states**: 0.88 states/eV per atom
**Space-group type**: Cmcm

Cell lengths 5.1781, 5.1781, 12.8976 Å; angles 90.00, 90.00, 134.35 degrees
Fractional coordinates of all 16 atoms:
1 Sc 0.0828 0.9172 0.6113
2 Sc 0.0828 0.9172 0.8887
3 Sc 0.3608 0.6392 0.7500
4 Sc 0.6392 0.3608 0.2500
5 Sc 0.9172 0.0828 0.1113
6 Sc 0.9172 0.0828 0.3887
7 Fe 0.3483 0.6517 0.2500
8 Fe 0.3828 0.6172 0.5314
9 Fe 0.3828 0.6172 0.9686
10 Fe 0.6172 0.3828 0.0314
11 Fe 0.6172 0.3828 0.4686
12 Fe 0.6517 0.3483 0.7500
13 Si 0.2096 0.7904 0.1004
14 Si 0.2096 0.7904 0.3996
15 Si 0.7904 0.2096 0.6004
16 Si 0.7904 0.2096 0.8996